# 1
VASP calculation (PBE-GGA) on a relaxed Cr2HgSe crystal.

Computed properties:
N(E_F), states/eV/cell: 2.3
Energy relative to the elements, uncorrected, eV/atom: 0.356

a = 3.423 Å, b = 4.688 Å, c = 4.706 Å
α = 90.00°, β = 90.00°, γ = 90.00°
Element x y z (fractional)
Cr 0.000 0.000 0.000
Cr 0.000 0.500 0.500
Hg 0.500 0.000 0.500
Se 0.500 0.500 0.000

=====

# 2
VASP calculation (PBE-GGA) on a relaxed FeSnMo2H crystal.

Computed properties:
N(E_F), states/eV/cell: 5.9

a = 4.001 Å, b = 4.001 Å, c = 4.133 Å
α = 90.00°, β = 90.00°, γ = 90.00°
Element x y z (fractional)
Fe 0.000 0.000 0.000
Sn 0.500 0.500 0.000
Mo 0.000 0.500 0.500
Mo 0.500 0.000 0.500
H 0.000 0.000 0.500

=====

# 3
VASP calculation (PBE-GGA) on a relaxed ScZn7Ni5 crystal.

Computed properties:
N(E_F), states/eV/cell: 6.0

a = 6.463 Å, b = 6.463 Å, c = 6.463 Å
α = 134.46°, β = 98.42°, γ = 98.81°
Element x y z (fractional)
Sc 0.000 0.000 0.000
Zn 0.243 0.536 0.707
Zn 0.263 0.763 0.500
Zn 0.354 0.354 0.000
Zn 0.387 0.047 0.341
Zn 0.678 0.678 0.000
Zn 0.706 0.047 0.659
Zn 0.829 0.536 0.293
Ni 0.037 0.037 0.493
Ni 0.037 0.544 0.000
Ni 0.544 0.037 0.000
Ni 0.544 0.544 0.507
Ni 0.815 0.315 0.500

=====

# 4
VASP calculation (PBE-GGA) on a relaxed Ce5Pu2Sn4 crystal.

Computed properties:
N(E_F), states/eV/cell: 43.7

a = 8.828 Å, b = 19.016 Å, c = 3.440 Å
α = 90.00°, β = 90.00°, γ = 90.00°
Element x y z (fractional)
Ce 0.000 0.000 0.000
Ce 0.114 0.420 0.000
Ce 0.211 0.210 0.000
Ce 0.289 0.710 0.000
Ce 0.386 0.920 0.000
Ce 0.500 0.500 0.000
Ce 0.614 0.080 0.000
Ce 0.711 0.290 0.000
Ce 0.789 0.790 0.000
Ce 0.886 0.580 0.000
Pu 0.029 0.308 0.500
Pu 0.471 0.808 0.500
Pu 0.529 0.192 0.500
Pu 0.971 0.692 0.500
Sn 0.105 0.847 0.500
Sn 0.208 0.563 0.500
Sn 0.292 0.063 0.500
Sn 0.395 0.347 0.500
Sn 0.605 0.653 0.500
Sn 0.708 0.937 0.500
Sn 0.792 0.437 0.500
Sn 0.895 0.153 0.500

=====

# 5
VASP calculation (PBE-GGA) on a relaxed Tb4FeSn crystal.

Computed properties:
N(E_F), states/eV/cell: 11.4

a = 7.898 Å, b = 7.898 Å, c = 6.028 Å
α = 100.49°, β = 100.49°, γ = 113.26°
Element x y z (fractional)
Tb 0.055 0.730 0.949
Tb 0.209 0.355 0.626
Tb 0.270 0.945 0.551
Tb 0.355 0.209 0.126
Tb 0.645 0.791 0.874
Tb 0.730 0.055 0.449
Tb 0.791 0.645 0.374
Tb 0.945 0.270 0.051
Fe 0.000 0.000 0.250
Fe 0.000 0.000 0.750
Sn 0.372 0.628 0.250
Sn 0.628 0.372 0.750

=====

# 6
VASP calculation (PBE-GGA) on a relaxed Li2TeCl crystal.

Computed properties:
N(E_F), states/eV/cell: 0.8
Energy relative to the elements, uncorrected, eV/atom: -1.003

a = 5.361 Å, b = 5.361 Å, c = 3.290 Å
α = 105.47°, β = 105.47°, γ = 85.16°
Element x y z (fractional)
Li 0.000 0.500 0.000
Li 0.500 0.000 0.000
Te 0.000 0.000 0.500
Cl 0.500 0.500 0.500

=====

# 7
VASP calculation (PBE-GGA) on a relaxed Tb2Ce3Si4 crystal.

Computed properties:
N(E_F), states/eV/cell: 30.8
Energy relative to the elements, uncorrected, eV/atom: -0.624

a = 7.671 Å, b = 7.706 Å, c = 7.640 Å
α = 90.00°, β = 105.94°, γ = 90.00°
Element x y z (fractional)
Tb 0.205 0.184 0.094
Tb 0.205 0.316 0.594
Tb 0.795 0.684 0.406
Tb 0.795 0.816 0.906
Ce 0.243 0.687 0.251
Ce 0.243 0.813 0.751
Ce 0.500 0.000 0.500
Ce 0.500 0.500 0.000
Ce 0.757 0.187 0.249
Ce 0.757 0.313 0.749
Si 0.083 0.522 0.885
Si 0.083 0.978 0.385
Si 0.489 0.116 0.882
Si 0.489 0.384 0.382
Si 0.511 0.616 0.618
Si 0.511 0.884 0.118
Si 0.917 0.022 0.615
Si 0.917 0.478 0.115

=====

# 8
VASP calculation (PBE-GGA) on a relaxed BaTaTeI2 crystal.

Computed properties:
N(E_F), states/eV/cell: 3.9
Energy relative to the elements, uncorrected, eV/atom: -0.389

a = 5.736 Å, b = 5.736 Å, c = 5.475 Å
α = 90.00°, β = 90.00°, γ = 90.00°
Element x y z (fractional)
Ba 0.000 0.000 0.000
Ta 0.500 0.500 0.500
Te 0.500 0.500 0.000
I 0.000 0.500 0.500
I 0.500 0.000 0.500

=====

# 9
VASP calculation (PBE-GGA) on a relaxed HfCrN2 crystal.

Computed properties:
N(E_F), states/eV/cell: 0.3
Energy relative to the elements, uncorrected, eV/atom: -0.860

a = 5.496 Å, b = 5.496 Å, c = 5.496 Å
α = 32.62°, β = 32.62°, γ = 32.62°
Element x y z (fractional)
Hf 0.000 0.000 0.000
Cr 0.182 0.182 0.182
N 0.414 0.414 0.414
N 0.580 0.580 0.580

=====

| no. | final energy (eV per atom) |
| --- | --- |
| 1 | -5.40 |
| 2 | -7.28 |
| 3 | -3.68 |
| 4 | -7.19 |
| 5 | -5.45 |
| 6 | -3.21 |
| 7 | -6.04 |
| 8 | -4.39 |
| 9 | -9.92 |